*A*
A relaxed structure of BaReMo, computed with PBE.

Output
**Calculated volume**: 25.23 A^3/atom

Unit cell a=4.748 b=4.748 c=4.748 alpha=60.00 beta=60.00 gamma=60.00
Fractional coordinates of all 3 atoms:
Ba 0.000 0.000 0.000
Re 0.250 0.250 0.250
Mo 0.750 0.750 0.750


*B*
A relaxed structure of BaReMo, computed with PBE.

Output
**Calculated volume**: 24.67 A^3/atom

Unit cell a=6.848 b=6.848 c=6.848 alpha=151.28 beta=151.28 gamma=41.07
Fractional coordinates of all 3 atoms:
Ba 0.000 0.000 0.000
Re 0.713 0.713 0.000
Mo 0.280 0.280 0.000


*C*
A relaxed structure of BaReMo, computed with PBE.

Output
**Calculated volume**: 22.06 A^3/atom

Unit cell a=8.155 b=7.938 c=3.037 alpha=83.17 beta=75.13 gamma=21.70
Fractional coordinates of all 3 atoms:
Ba 0.000 0.000 0.000
Re 0.688 0.688 0.312
Mo 0.304 0.304 0.696


Most stable structure: *B*


*A*
A relaxed structure of BaMoRh, computed with PBE.

Output
**Calculated volume**: 24.54 A^3/atom

Unit cell a=5.293 b=4.548 c=6.351 alpha=90.00 beta=105.63 gamma=90.00
Fractional coordinates of all 6 atoms:
Ba 0.000 0.000 0.000
Ba 0.494 0.500 0.904
Mo 0.338 0.500 0.398
Mo 0.643 0.000 0.413
Rh 0.196 0.000 0.524
Rh 0.871 0.500 0.466


*B*
A relaxed structure of BaMoRh, computed with PBE.

Output
**Calculated volume**: 27.97 A^3/atom

Unit cell a=4.373 b=4.461 c=8.615 alpha=87.04 beta=89.86 gamma=89.78
Fractional coordinates of all 6 atoms:
Ba 0.000 0.000 0.000
Ba 0.498 0.478 0.360
Mo 0.503 0.565 0.811
Mo 0.997 0.441 0.670
Rh 0.497 0.047 0.681
Rh 0.999 0.922 0.522


Most stable structure: *B*


*A*
A relaxed structure of BaMo2Rh, computed with PBE.

Output
**Calculated volume**: 23.83 A^3/atom

Unit cell a=4.913 b=4.913 c=6.578 alpha=105.16 beta=105.16 gamma=38.66
Fractional coordinates of all 4 atoms:
Ba 0.000 0.000 0.000
Mo 0.196 0.196 0.614
Mo 0.496 0.496 0.484
Rh 0.767 0.767 0.340


*B*
A relaxed structure of BaMo2Rh, computed with PBE.

Output
**Calculated volume**: 19.64 A^3/atom

Unit cell a=5.831 b=5.831 c=2.903 alpha=98.33 beta=98.33 gamma=123.31
Fractional coordinates of all 4 atoms:
Ba 0.000 0.000 0.000
Mo 0.000 0.500 0.500
Mo 0.500 0.000 0.500
Rh 0.500 0.500 0.000


*C*
A relaxed structure of BaMo2Rh, computed with PBE.

Output
**Calculated volume**: 19.90 A^3/atom

Unit cell a=10.683 b=10.683 c=10.683 alpha=15.88 beta=15.88 gamma=15.88
Fractional coordinates of all 4 atoms:
Ba 0.000 0.000 0.000
Mo 0.234 0.234 0.234
Mo 0.766 0.766 0.766
Rh 0.500 0.500 0.500


*D*
A relaxed structure of BaMo2Rh, computed with PBE.

Output
**Calculated volume**: 18.57 A^3/atom

Unit cell a=4.719 b=4.719 c=4.719 alpha=60.00 beta=60.00 gamma=60.00
Fractional coordinates of all 4 atoms:
Ba 0.000 0.000 0.000
Mo 0.250 0.250 0.250
Mo 0.750 0.750 0.750
Rh 0.500 0.500 0.500


Most stable structure: *A*


*A*
A relaxed structure of BaMo2Rh, computed with PBE.

Output
**Calculated volume**: 19.98 A^3/atom

Unit cell a=2.890 b=2.890 c=9.571 alpha=90.00 beta=90.00 gamma=90.00
Fractional coordinates of all 4 atoms:
Ba 0.000 0.000 0.000
Mo 0.500 0.500 0.306
Mo 0.500 0.500 0.694
Rh 0.000 0.000 0.500


*B*
A relaxed structure of BaMo2Rh, computed with PBE.

Output
**Calculated volume**: 21.55 A^3/atom

Unit cell a=5.795 b=5.795 c=5.795 alpha=147.98 beta=122.20 gamma=67.62
Fractional coordinates of all 4 atoms:
Ba 0.000 0.000 0.000
Mo 0.296 0.796 0.500
Mo 0.483 0.483 0.000
Rh 0.714 0.214 0.500


Most stable structure: *A*


*A*
A relaxed structure of BaMo2Rh, computed with PBE.

Output
**Calculated volume**: 20.83 A^3/atom

Unit cell a=6.332 b=6.332 c=6.332 alpha=153.77 beta=131.69 gamma=55.80
Fractional coordinates of all 4 atoms:
Ba 0.000 0.000 0.000
Mo 0.292 0.792 0.500
Mo 0.708 0.208 0.500
Rh 0.500 0.500 0.000


*B*
A relaxed structure of BaMo2Rh, computed with PBE.

Output
**Calculated volume**: 19.47 A^3/atom

Unit cell a=4.793 b=4.793 c=4.793 alpha=60.00 beta=60.00 gamma=60.00
Fractional coordinates of all 4 atoms:
Ba 0.000 0.000 0.000
Mo 0.500 0.500 0.500
Mo 0.750 0.750 0.750
Rh 0.250 0.250 0.250


*C*
A relaxed structure of BaMo2Rh, computed with PBE.

Output
**Calculated volume**: 20.93 A^3/atom

Unit cell a=9.578 b=9.578 c=9.578 alpha=19.28 beta=19.28 gamma=19.28
Fractional coordinates of all 4 atoms:
Ba 0.000 0.000 0.000
Mo 0.502 0.502 0.502
Mo 0.774 0.774 0.774
Rh 0.237 0.237 0.237


*D*
A relaxed structure of BaMo2Rh, computed with PBE.

Output
**Calculated volume**: 21.10 A^3/atom

Unit cell a=3.185 b=3.277 c=8.120 alpha=90.00 beta=95.21 gamma=90.00
Fractional coordinates of all 4 atoms:
Ba 0.000 0.000 0.000
Mo 0.491 0.500 0.334
Mo 0.897 0.000 0.511
Rh 0.470 0.500 0.698


Most stable structure: *D*


*A*
A relaxed structure of Ba2MoRh, computed with PBE.

Output
**Calculated volume**: 33.14 A^3/atom

Unit cell a=7.073 b=7.073 c=7.073 alpha=147.16 beta=135.92 gamma=56.05
Fractional coordinates of all 4 atoms:
Ba 0.000 0.000 0.000
Ba 0.724 0.224 0.500
Mo 0.308 0.808 0.500
Rh 0.411 0.411 0.000


*B*
A relaxed structure of Ba2MoRh, computed with PBE.

Output
**Calculated volume**: 33.02 A^3/atom

Unit cell a=4.076 b=6.711 c=6.711 alpha=46.01 beta=90.00 gamma=90.00
Fractional coordinates of all 4 atoms:
Ba 0.000 0.000 0.000
Ba 0.500 0.283 0.283
Mo 0.000 0.691 0.691
Rh 0.500 0.590 0.590


Most stable structure: *B*


*A*
A relaxed structure of Ba2MoRh, computed with PBE.

Output
**Calculated volume**: 30.43 A^3/atom

Unit cell a=5.563 b=5.563 c=5.563 alpha=60.00 beta=60.00 gamma=60.00
Fractional coordinates of all 4 atoms:
Ba 0.250 0.250 0.250
Ba 0.750 0.750 0.750
Mo 0.000 0.000 0.000
Rh 0.500 0.500 0.500


*B*
A relaxed structure of Ba2MoRh, computed with PBE.

Output
**Calculated volume**: 28.63 A^3/atom

Unit cell a=9.898 b=9.898 c=9.898 alpha=21.54 beta=21.54 gamma=21.54
Fractional coordinates of all 4 atoms:
Ba 0.244 0.244 0.244
Ba 0.756 0.756 0.756
Mo 0.000 0.000 0.000
Rh 0.500 0.500 0.500


*C*
A relaxed structure of Ba2MoRh, computed with PBE.

Output
**Calculated volume**: 30.45 A^3/atom

Unit cell a=3.495 b=3.495 c=9.972 alpha=90.00 beta=90.00 gamma=90.00
Fractional coordinates of all 4 atoms:
Ba 0.000 0.000 0.000
Ba 0.500 0.500 0.406
Mo 0.000 0.000 0.666
Rh 0.500 0.500 0.753


Most stable structure: *C*


*A*
A relaxed structure of Ba2MoRu, computed with PBE.

Output
**Calculated volume**: 27.04 A^3/atom

Unit cell a=5.811 b=5.811 c=3.553 alpha=90.00 beta=90.00 gamma=115.64
Fractional coordinates of all 4 atoms:
Ba 0.000 0.500 0.000
Ba 0.500 0.000 0.000
Mo 0.000 0.000 0.500
Ru 0.500 0.500 0.500


*B*
A relaxed structure of Ba2MoRu, computed with PBE.

Output
**Calculated volume**: 26.78 A^3/atom

Unit cell a=5.329 b=5.329 c=5.329 alpha=119.94 beta=119.94 gamma=90.10
Fractional coordinates of all 4 atoms:
Ba 0.000 0.000 0.000
Ba 0.750 0.250 0.500
Mo 0.250 0.750 0.500
Ru 0.500 0.500 0.000


*C*
A relaxed structure of Ba2MoRu, computed with PBE.

Output
**Calculated volume**: 31.76 A^3/atom

Unit cell a=6.771 b=6.771 c=6.771 alpha=146.37 beta=131.79 gamma=60.06
Fractional coordinates of all 4 atoms:
Ba 0.000 0.000 0.000
Ba 0.717 0.217 0.500
Mo 0.411 0.411 0.000
Ru 0.301 0.801 0.500


*D*
A relaxed structure of Ba2MoRu, computed with PBE.

Output
**Calculated volume**: 32.14 A^3/atom

Unit cell a=10.031 b=10.031 c=10.031 alpha=159.65 beta=158.50 gamma=29.77
Fractional coordinates of all 4 atoms:
Ba 0.145 0.145 0.000
Ba 0.855 0.855 0.000
Mo 0.500 0.000 0.500
Ru 0.000 0.500 0.500


Most stable structure: *D*